# 1
The following is a GGA-PBE calculation of a geometry-optimized CsAgF structure, from the Alexandria database.

Lattice parameters (Å, degrees): 3.9935 4.0955 9.8577 90.00 90.00 90.00
With the nearest neighbours (Å) after each atom.
Space group Pmmn (No. 59, origin choice 2)
Unique sites:
Cs1 0.2500 0.2500 0.1600  4 F 2.86
Ag1 0.2500 0.2500 0.5357  1 F 2.89, 4 Ag 2.95
F1 0.2500 0.2500 0.8286  4 Cs 2.86, 1 Ag 2.89

Summary:
Crystal system: orthorhombic

***

# 2
The following is a GGA-PBE calculation of a geometry-optimized Cs6AgF8 structure, from the Alexandria database.

Lattice parameters (Å, degrees): 8.7409 8.7409 17.4799 90.00 90.00 120.00
With the nearest neighbours (Å) after each atom.
Space group R-3 (No. 148, hexagonal axes)
Unique sites:
Cs1 0.0235 0.3961 0.4152  6 F 2.91-3.21
Ag1 0.0000 0.0000 0.5000  6 F 2.32
F1 0.0000 0.0000 0.1621  6 Cs 2.99-3.21
F2 0.0111 0.2241 0.5751  1 Ag 2.32

Summary:
Crystal system: trigonal

***

Formation energy from raw total energies in eV/atom, matching the order above: -1.46; -2.33
Volume in Å³ per cell, matching the order above: 161.2; 1156.6